Entry 1:
First-principles (SCAN) data for NdSmHg2 at its PBEsol-relaxed geometry, as listed in the Alexandria database.

a b c (Å): 7.4813 7.4813 7.4813
angles (deg): 90.00 90.00 90.00
Space group Fm-3m (No. 225)
One atom of each set of equivalent atoms:
Nd 0.0000 0.0000 0.0000 (multiplicity 4)
Sm 0.0000 0.0000 0.5000 (multiplicity 4)
Hg 0.2500 0.2500 0.2500 (multiplicity 8)

Calculated density   11.037 g/cm³
M_tot   1.8 Bohr magnetons per cell
Total energy   -56.772 eV per atom
Fermi-level density of states   4.5 states/eV/f.u.

***

Entry 2:
First-principles (SCAN) data for CaPW2 at its PBEsol-relaxed geometry, as listed in the Alexandria database.

a b c (Å): 5.5340 10.0526 2.7188
angles (deg): 90.00 116.62 90.00
Space group C2/m (No. 12)
One atom of each set of equivalent atoms:
Ca 0.0000 0.0000 0.0000 (multiplicity 2)
P 0.0000 0.5000 0.0000 (multiplicity 2)
W 0.2500 0.2500 0.0000 (multiplicity 4)

Calculated density   10.775 g/cm³
M_tot   0.0 Bohr magnetons per cell
Total energy   -39.135 eV per atom
Fermi-level density of states   2.7 states/eV/f.u.

***

Entry 3:
First-principles (SCAN) data for HgRu2W at its PBEsol-relaxed geometry, as listed in the Alexandria database.

a b c (Å): 4.7568 2.8185 4.9265
angles (deg): 90.00 112.54 90.00
Space group P2/m (No. 10)
One atom of each set of equivalent atoms:
Hg 0.0000 0.0000 0.0000 (multiplicity 1)
Ru 0.5000 0.0000 0.5000 (multiplicity 1)
Ru 0.5000 0.5000 0.0000 (multiplicity 1)
W 0.0000 0.5000 0.5000 (multiplicity 1)

Calculated density   15.967 g/cm³
M_tot   0.0 Bohr magnetons per cell
Total energy   -51.301 eV per atom
Fermi-level density of states   3.4 states/eV/f.u.

***

Entry 4:
First-principles (SCAN) data for Mn2CuPb at its PBEsol-relaxed geometry, as listed in the Alexandria database.

a b c (Å): 3.8976 3.8976 7.7543
angles (deg): 90.00 90.00 90.00
Space group I4/mmm (No. 139)
One atom of each set of equivalent atoms:
Mn 0.0000 0.5000 0.2500 (multiplicity 4)
Cu 0.0000 0.0000 0.0000 (multiplicity 2)
Pb 0.0000 0.0000 0.5000 (multiplicity 2)

Calculated density   10.731 g/cm³
M_tot   14.3 Bohr magnetons per cell
Total energy   -31.738 eV per atom
Fermi-level density of states   3.2 states/eV/f.u.

***

Entry 5:
First-principles (SCAN) data for V2CoP2H8O14 at its PBEsol-relaxed geometry, as listed in the Alexandria database.

a b c (Å): 6.2385 6.2385 12.8098
angles (deg): 90.00 90.00 90.00
Space group I4/m (No. 87)
One atom of each set of equivalent atoms:
V 0.0000 0.0000 0.2207 (multiplicity 4)
Co 0.0000 0.0000 0.5000 (multiplicity 2)
P 0.0000 0.5000 0.2500 (multiplicity 4)
H 0.1688 0.3250 0.0641 (multiplicity 16)
O 0.0000 0.0000 0.3470 (multiplicity 4)
O 0.0373 0.3036 0.1783 (multiplicity 16)
O 0.1931 0.7597 0.5000 (multiplicity 8)

Calculated density   3.030 g/cm³
M_tot   6.0 Bohr magnetons per cell
Total energy   -8.776 eV per atom

***

Entry 6:
First-principles (SCAN) data for RbYIr3 at its PBEsol-relaxed geometry, as listed in the Alexandria database.

a b c (Å): 5.0662 5.0662 5.0662
angles (deg): 90.00 90.00 90.00
Space group Pm-3m (No. 221)
One atom of each set of equivalent atoms:
Rb 0.0000 0.0000 0.0000 (multiplicity 1)
Y 0.5000 0.5000 0.5000 (multiplicity 1)
Ir 0.0000 0.5000 0.5000 (multiplicity 3)

Calculated density   9.591 g/cm³
M_tot   2.2 Bohr magnetons per cell
Total energy   -50.608 eV per atom
Fermi-level density of states   4.4 states/eV/f.u.

***

Entry 7:
First-principles (SCAN) data for Zn2HgIr at its PBEsol-relaxed geometry, as listed in the Alexandria database.

a b c (Å): 3.7142 3.8254 8.5253
angles (deg): 90.00 90.00 90.00
Space group Imm2 (No. 44)
One atom of each set of equivalent atoms:
Zn 0.0000 0.0000 0.0000 (multiplicity 2)
Zn 0.0000 0.5000 0.2505 (multiplicity 2)
Hg 0.0000 0.5000 0.7522 (multiplicity 2)
Ir 0.0000 0.0000 0.5046 (multiplicity 2)

Calculated density   14.357 g/cm³
M_tot   0.0 Bohr magnetons per cell
Total energy   -41.509 eV per atom
Fermi-level density of states   1.3 states/eV/f.u.

***

Entry 8:
First-principles (SCAN) data for SrPAu2 at its PBEsol-relaxed geometry, as listed in the Alexandria database.

a b c (Å): 3.4939 3.5452 6.8629
angles (deg): 90.00 90.00 90.00
Space group Pmm2 (No. 25)
One atom of each set of equivalent atoms:
Sr 0.0000 0.0000 0.0000 (multiplicity 1)
P 0.5000 0.5000 0.6464 (multiplicity 1)
Au 0.0000 0.0000 0.5481 (multiplicity 1)
Au 0.5000 0.5000 0.2786 (multiplicity 1)

Calculated density   10.012 g/cm³
M_tot   0.0 Bohr magnetons per cell
Total energy   -43.110 eV per atom
Fermi-level density of states   1.5 states/eV/f.u.